! PBE Ti3PtSe, relaxed; values from VASP
! Magnetization, Bohr magnetons per cell: 0.00
! Offset from the most stable computed form, meV per atom: 0.0
! Electronic total energy, eV per atom: -6.67
&SYSTEM
  ibrav = 0, nat = 5, ntyp = 3
/
ATOMIC_SPECIES
Ti 47.87 Ti.upf
Pt 195.08 Pt.upf
Se 78.96 Se.upf
ATOMIC_POSITIONS angstrom
Ti 0.000 0.000 2.289
Ti 0.000 2.289 0.000
Ti 2.289 0.000 0.000
Pt 2.289 2.289 2.289
Se 0.000 0.000 0.000
CELL_PARAMETERS angstrom
4.578 0.000 0.000
0.000 4.578 0.000
0.000 0.000 4.578